No. 1
! La3SnO | Alexandria via LeMat-Bulk | PBE | optimized geometry; values from VASP
&SYSTEM
  ibrav = 0, nat = 10, ntyp = 3
/
ATOMIC_SPECIES
Sn 118.71 Sn.upf
La 138.91 La.upf
O 16.00 O.upf
CELL_PARAMETERS angstrom
-2.9154 4.1529 5.8073
-5.3463 -2.5263 4.9503
1.2608 -1.4180 7.4747
ATOMIC_POSITIONS crystal
Sn 0.3715 0.3715 0.3715
Sn 0.6285 0.6285 0.6285
La 0.8345 0.4224 0.0145
La 0.1655 0.5776 0.9855
La 0.4224 0.0145 0.8345
La 0.9855 0.1655 0.5776
La 0.0145 0.8345 0.4224
La 0.5776 0.9855 0.1655
O 0.8369 0.8369 0.8369
O 0.1631 0.1631 0.1631
! space-group type = R-3, No. 148
! DFT total energy = -59.92 eV/cell
! Fermi-level density of states = 5.13 states/eV per cell
! raw formation energy = -1.24 eV/atom

No. 2
! ZnTe2IrI | Alexandria via LeMat-Bulk | PBE | optimized geometry; values from VASP
&SYSTEM
  ibrav = 0, nat = 5, ntyp = 4
/
ATOMIC_SPECIES
I 126.90 I.upf
Zn 65.41 Zn.upf
Te 127.60 Te.upf
Ir 192.22 Ir.upf
CELL_PARAMETERS angstrom
5.2099 0.0000 0.0000
0.0000 5.2099 0.0000
0.0000 0.0000 5.2414
ATOMIC_POSITIONS crystal
I 0.0000 0.0000 0.5000
Zn 0.0000 0.0000 0.0000
Te 0.0000 0.5000 0.0000
Te 0.5000 0.0000 0.0000
Ir 0.5000 0.5000 0.5000
! space-group type = P4/mmm, No. 123
! DFT total energy = -11.68 eV/cell
! Fermi-level density of states = 6.67 states/eV per cell
! polymorph energy (0 for the lowest one) = 741 meV per atom
! raw formation energy = 1.26 eV/atom

No. 3
! NaTeP3 | Alexandria via LeMat-Bulk | PBE | optimized geometry; values from VASP
&SYSTEM
  ibrav = 0, nat = 5, ntyp = 3
/
ATOMIC_SPECIES
P 30.97 P.upf
Na 22.99 Na.upf
Te 127.60 Te.upf
CELL_PARAMETERS angstrom
-0.0140 1.1532 -4.7407
0.7434 -4.6849 -1.1418
-4.8220 -0.7256 -0.1623
ATOMIC_POSITIONS crystal
P 0.0000 0.0000 0.5000
P 0.5000 0.0000 0.0000
P 0.0000 0.5000 0.0000
Na 0.0000 0.0000 0.0000
Te 0.5000 0.5000 0.5000
! space-group type = Pm-3m, No. 221
! DFT total energy = -13.50 eV/cell
! Fermi-level density of states = 6.18 states/eV per cell
! polymorph energy (0 for the lowest one) = 545 meV per atom
! raw formation energy = 1.44 eV/atom